Density functional theory data (PBE) for a relaxed structure of Ce3Ho2TmP6.

a b c (Å): 6.9860 12.1024 6.9660
angles (deg): 90.00 109.53 90.00
With the nearest neighbours (Å) after each atom.
Space group C2/m (No. 12)
Symmetry-distinct sites (fractional):
1 Ce 0.0000 0.0000 0.0000 [2 per cell]  6 P 2.87-2.88
2 Ce 0.0000 0.3330 0.0000 [4 per cell]  6 P 2.87-2.88
3 Ho 0.0000 0.1665 0.5000 [4 per cell]  6 P 2.83
4 Tm 0.0000 0.5000 0.5000 [2 per cell]  6 P 2.82
5 P 0.2474 0.3340 0.7445 [8 per cell]  1 Tm 2.82, 2 Ho 2.83, 3 Ce 2.87-2.88
6 P 0.2497 0.0000 0.7449 [4 per cell]  1 Tm 2.82, 2 Ho 2.83, 3 Ce 2.87-2.88

## Properties
Calculated formation energy (eV per atom): -1.555
Crystal system: monoclinic

---

Density functional theory data (PBE) for a relaxed structure of Tl2InGa6.

a b c (Å): 10.5450 6.0197 6.5446
angles (deg): 90.00 93.47 90.00
With the nearest neighbours (Å) after each atom.
Space group C2/m (No. 12)
Symmetry-distinct sites (fractional):
1 Tl 0.1656 0.0000 0.1234 [4 per cell]  10 Ga 3.30-3.66, 3 In 3.55-3.67
2 In 0.0000 0.5000 0.0000 [2 per cell]  6 Ga 2.94-2.97
3 Ga 0.0899 0.2317 0.6569 [8 per cell]  4 Ga 2.71-2.81, 1 In 2.97
4 Ga 0.1800 0.5000 0.3613 [4 per cell]  4 Ga 2.73-2.81, 1 In 2.94

## Properties
Calculated formation energy (eV per atom): 0.021
Crystal system: monoclinic